## TlSi2Br8 (PBE)

Data for TlSi2Br8 after structural relaxation.

Properties
- Spin magnetization: 0.000 μB/f.u.
- Space group: No. 12
- E_form (uncorrected): -640 meV per atom

a = 7.9612 Å, b = 7.9612 Å, c = 8.4073 Å
α = 106.70°, β = 106.70°, γ = 60.31°
Closest atoms and distances in Å follow each position.
Element x y z (fractional)
Tl 0.0000 0.0000 0.0000  6 Br 3.41-3.55
Si 0.2022 0.2022 0.6919  4 Br 2.28-2.30
Si 0.7978 0.7978 0.3081  4 Br 2.28-2.30
Br 0.0998 0.6443 0.2334  1 Si 2.28
Br 0.1655 0.1655 0.4043  1 Si 2.30
Br 0.3557 0.9002 0.7666  1 Si 2.28
Br 0.3757 0.3757 0.8406  1 Si 2.30
Br 0.6243 0.6243 0.1594  1 Si 2.30
Br 0.6443 0.0998 0.2334  1 Si 2.28
Br 0.8345 0.8345 0.5957  1 Si 2.30
Br 0.9002 0.3557 0.7666  1 Si 2.28


## Cs4KCa3Cl12 (PBE)

Data for Cs4KCa3Cl12 after structural relaxation.

Properties
- Spin magnetization: 0.263 μB/f.u.
- Space group: No. 229
- E_form (uncorrected): -2049 meV per atom

a = 9.6780 Å, b = 9.6780 Å, c = 9.6780 Å
α = 109.47°, β = 109.47°, γ = 109.47°
Closest atoms and distances in Å follow each position.
Element x y z (fractional)
Cs 0.0000 0.0000 0.5000  12 Cl 3.95
Cs 0.0000 0.5000 0.0000  12 Cl 3.95
Cs 0.5000 0.0000 0.0000  12 Cl 3.95
Cs 0.5000 0.5000 0.5000  12 Cl 3.95
K 0.0000 0.0000 0.0000  6 Cl 2.95
Ca 0.0000 0.5000 0.5000  6 Cl 2.64-2.79
Ca 0.5000 0.0000 0.5000  6 Cl 2.64-2.79
Ca 0.5000 0.5000 0.0000  6 Cl 2.64-2.79
Cl 0.0000 0.2641 0.2641  1 Ca 2.64, 1 K 2.95
Cl 0.0000 0.7359 0.7359  1 Ca 2.64, 1 K 2.95
Cl 0.2500 0.5000 0.7500  2 Ca 2.79
Cl 0.2500 0.7500 0.5000  2 Ca 2.79
Cl 0.2641 0.0000 0.2641  1 Ca 2.64, 1 K 2.95
Cl 0.2641 0.2641 0.0000  1 Ca 2.64, 1 K 2.95
Cl 0.5000 0.2500 0.7500  2 Ca 2.79
Cl 0.5000 0.7500 0.2500  2 Ca 2.79
Cl 0.7359 0.0000 0.7359  1 Ca 2.64, 1 K 2.95
Cl 0.7359 0.7359 0.0000  1 Ca 2.64, 1 K 2.95
Cl 0.7500 0.2500 0.5000  2 Ca 2.79
Cl 0.7500 0.5000 0.2500  2 Ca 2.79


## AlTeSe2 (PBE)

Data for AlTeSe2 after structural relaxation.

Properties
- Spin magnetization: 0.000 μB/f.u.
- Space group: No. 47
- E above lowest polymorph: 0.4820 eV/atom
- E_form (uncorrected): 38 meV per atom

a = 3.8311 Å, b = 3.9079 Å, c = 7.6431 Å
α = 90.00°, β = 90.00°, γ = 90.00°
Closest atoms and distances in Å follow each position.
Element x y z (fractional)
Al 0.0000 0.0000 0.0000  4 Se 2.74
Te 0.5000 0.0000 0.5000  4 Se 2.74
Se 0.0000 0.5000 0.5000  4 Te 2.74
Se 0.5000 0.5000 0.0000  4 Al 2.74


## LiCr2Pd2 (PBE)

Data for LiCr2Pd2 after structural relaxation.

Properties
- Spin magnetization: 0.000 μB/f.u.
- Energy relative to the elements: 0.110 eV per atom
- Space group: No. 127
- E above lowest polymorph: 0.0000 eV/atom

a = 7.4282 Å, b = 7.4282 Å, c = 2.7259 Å
α = 90.00°, β = 90.00°, γ = 90.00°
Closest atoms and distances in Å follow each position.
Element x y z (fractional)
Li 0.0000 0.0000 0.0000  2 Li 2.73, 8 Pd 3.00
Li 0.5000 0.5000 0.0000  2 Li 2.73, 8 Pd 3.00
Cr 0.0894 0.4106 0.0000  1 Cr 1.88
Cr 0.4106 0.9106 0.0000  1 Cr 1.88
Cr 0.5894 0.0894 0.0000  1 Cr 1.88
Cr 0.9106 0.5894 0.0000  1 Cr 1.88
Pd 0.2011 0.7011 0.5000  6 Cr 2.59-2.68, 2 Pd 2.73
Pd 0.2989 0.2011 0.5000  6 Cr 2.59-2.68, 2 Pd 2.73
Pd 0.7011 0.7989 0.5000  6 Cr 2.59-2.68, 2 Pd 2.73
Pd 0.7989 0.2989 0.5000  6 Cr 2.59-2.68, 2 Pd 2.73


## NaTm2MnSe4 (PBE)

Data for NaTm2MnSe4 after structural relaxation.

Properties
- Spin magnetization: 4.113 μB/f.u.
- Space group: No. 119
- E_form (uncorrected): -1329 meV per atom

a = 6.9707 Å, b = 6.9707 Å, c = 6.9707 Å
α = 132.04°, β = 132.04°, γ = 70.16°
Closest atoms and distances in Å follow each position.
Element x y z (fractional)
Na 0.0000 0.0000 0.0000  6 Se 2.83-2.89
Tm 0.5000 0.5000 0.0000  6 Se 2.81-2.83
Tm 0.7500 0.2500 0.5000  6 Se 2.83-2.87
Mn 0.2500 0.7500 0.5000  6 Se 2.83-2.84
Se 0.0014 0.5014 0.5000  2 Na 2.83, 3 Tm 2.83-2.87, 1 Mn 2.84
Se 0.2535 0.2535 0.0000  3 Tm 2.81-2.83, 2 Mn 2.83, 1 Na 2.89
Se 0.4986 0.9986 0.5000  2 Na 2.83, 3 Tm 2.83-2.87, 1 Mn 2.84
Se 0.7465 0.7465 0.0000  3 Tm 2.81-2.83, 2 Mn 2.83, 1 Na 2.89


## HfTi4Co (PBE)

Data for HfTi4Co after structural relaxation.

Properties
- Spin magnetization: 0.156 μB/f.u.
- Energy relative to the elements: -0.106 eV per atom
- Space group: No. 10

a = 3.0020 Å, b = 3.0010 Å, c = 11.0651 Å
α = 90.00°, β = 90.06°, γ = 90.00°
Closest atoms and distances in Å follow each position.
Element x y z (fractional)
Hf 0.0000 0.0000 0.0000  4 Hf 3.00, 8 Ti 3.04-3.05
Ti 0.0010 0.0000 0.6339  4 Co 2.59, 4 Ti 2.83
Ti 0.4989 0.5000 0.1971  8 Ti 2.83-3.00, 4 Hf 3.04-3.05
Ti 0.5011 0.5000 0.8029  8 Ti 2.83-3.00, 4 Hf 3.04-3.05
Ti 0.9990 0.0000 0.3661  4 Co 2.59, 4 Ti 2.83
Co 0.5000 0.5000 0.5000  8 Ti 2.59


## PuTh2Tl (PBE)

Data for PuTh2Tl after structural relaxation.

Properties
- Spin magnetization: 6.417 μB/f.u.
- Energy relative to the elements: 0.056 eV per atom
- Space group: No. 123
- E above lowest polymorph: 0.0794 eV/atom

a = 4.0363 Å, b = 4.0363 Å, c = 7.1609 Å
α = 90.00°, β = 90.00°, γ = 90.00°
Closest atoms and distances in Å follow each position.
Element x y z (fractional)
Pu 0.0000 0.0000 0.0000  8 Th 3.37, 2 Tl 3.58
Th 0.5000 0.5000 0.2498  4 Pu 3.37, 4 Tl 3.37, 2 Th 3.58
Th 0.5000 0.5000 0.7502  4 Pu 3.37, 4 Tl 3.37, 2 Th 3.58
Tl 0.0000 0.0000 0.5000  8 Th 3.37, 2 Pu 3.58


## Sc2Ir2C (PBE)

Data for Sc2Ir2C after structural relaxation.

Properties
- Spin magnetization: 0.000 μB/f.u.
- Energy relative to the elements: -0.081 eV per atom
- Space group: No. 127
- E above lowest polymorph: 0.0000 eV/atom

a = 5.6822 Å, b = 5.6822 Å, c = 4.7127 Å
α = 90.00°, β = 90.00°, γ = 90.00°
Closest atoms and distances in Å follow each position.
Element x y z (fractional)
Sc 0.1660 0.3340 0.0000  1 Sc 2.67, 2 Ir 2.72
Sc 0.3340 0.8340 0.0000  1 Sc 2.67, 2 Ir 2.72
Sc 0.6660 0.1660 0.0000  1 Sc 2.67, 2 Ir 2.72
Sc 0.8340 0.6660 0.0000  1 Sc 2.67, 2 Ir 2.72
Ir 0.1657 0.6657 0.5000  2 C 2.12
Ir 0.3343 0.1657 0.5000  2 C 2.12
Ir 0.6657 0.8343 0.5000  2 C 2.12
Ir 0.8343 0.3343 0.5000  2 C 2.12
C 0.0000 0.0000 0.5000  4 Ir 2.12
C 0.5000 0.5000 0.5000  4 Ir 2.12


## BaSe3N (PBE)

Data for BaSe3N after structural relaxation.

Properties
- Spin magnetization: 0.000 μB/f.u.
- Space group: No. 221
- E above lowest polymorph: 0.0000 eV/atom
- E_form (uncorrected): -7 meV per atom

a = 4.7707 Å, b = 4.7707 Å, c = 4.7707 Å
α = 90.00°, β = 90.00°, γ = 90.00°
Closest atoms and distances in Å follow each position.
Element x y z (fractional)
Ba 0.0000 0.0000 0.0000  12 Se 3.37
Se 0.0000 0.5000 0.5000  2 N 2.39
Se 0.5000 0.0000 0.5000  2 N 2.39
Se 0.5000 0.5000 0.0000  2 N 2.39
N 0.5000 0.5000 0.5000  6 Se 2.39


## NaPPd3 (PBE)

Data for NaPPd3 after structural relaxation.

Properties
- Spin magnetization: 0.000 μB/f.u.
- Energy relative to the elements: -0.339 eV per atom
- Space group: No. 221
- E above lowest polymorph: 0.0414 eV/atom

a = 4.5534 Å, b = 4.5534 Å, c = 4.5534 Å
α = 90.00°, β = 90.00°, γ = 90.00°
Closest atoms and distances in Å follow each position.
Element x y z (fractional)
Na 0.0000 0.0000 0.0000  12 Pd 3.22
P 0.5000 0.5000 0.5000  6 Pd 2.28
Pd 0.0000 0.5000 0.5000  2 P 2.28
Pd 0.5000 0.0000 0.5000  2 P 2.28
Pd 0.5000 0.5000 0.0000  2 P 2.28


## Rb2YCu2Cl6 (PBE)

Data for Rb2YCu2Cl6 after structural relaxation.

Properties
- Spin magnetization: 1.007 μB/f.u.
- Space group: No. 12
- E_form (uncorrected): -1430 meV per atom

a = 7.2779 Å, b = 7.2779 Å, c = 8.4072 Å
α = 117.48°, β = 117.48°, γ = 60.76°
Closest atoms and distances in Å follow each position.
Element x y z (fractional)
Rb 0.2088 0.2088 0.1857  5 Cl 3.33-3.49
Rb 0.7912 0.7912 0.8143  5 Cl 3.33-3.49
Y 0.0000 0.0000 0.5000  6 Cl 2.65-2.67
Cu 0.4603 0.4603 0.8339  3 Cl 2.38-2.43, 1 Cu 2.41
Cu 0.5397 0.5397 0.1661  3 Cl 2.38-2.43, 1 Cu 2.41
Cl 0.1925 0.7030 0.2342  1 Cu 2.43, 1 Y 2.67
Cl 0.2404 0.2404 0.6045  1 Cu 2.38, 1 Y 2.65
Cl 0.2970 0.8075 0.7658  1 Cu 2.43, 1 Y 2.67
Cl 0.7030 0.1925 0.2342  1 Cu 2.43, 1 Y 2.67
Cl 0.7596 0.7596 0.3955  1 Cu 2.38, 1 Y 2.65
Cl 0.8075 0.2970 0.7658  1 Cu 2.43, 1 Y 2.67


## YRuAu2 (PBE)

Data for YRuAu2 after structural relaxation.

Properties
- Spin magnetization: 0.718 μB/f.u.
- Energy relative to the elements: -0.274 eV per atom
- Space group: No. 119
- E above lowest polymorph: 0.0856 eV/atom

a = 5.2168 Å, b = 5.2168 Å, c = 5.2168 Å
α = 132.48°, β = 132.48°, γ = 69.46°
Closest atoms and distances in Å follow each position.
Element x y z (fractional)
Y 0.0000 0.0000 0.0000  8 Au 2.97-3.00, 4 Ru 3.00
Ru 0.2500 0.7500 0.5000  8 Au 2.97-3.00, 4 Y 3.00
Au 0.5000 0.5000 0.0000  4 Y 2.97, 4 Ru 3.00, 4 Au 3.00
Au 0.7500 0.2500 0.5000  4 Ru 2.97, 4 Au 3.00, 4 Y 3.00


## FeTe2W (PBE)

Data for FeTe2W after structural relaxation.

Properties
- Spin magnetization: 2.401 μB/f.u.
- Space group: No. 6
- E above lowest polymorph: 0.1528 eV/atom
- E_form (uncorrected): 117 meV per atom

a = 3.7796 Å, b = 3.7822 Å, c = 7.1021 Å
α = 90.00°, β = 90.15°, γ = 90.00°
Closest atoms and distances in Å follow each position.
Element x y z (fractional)
Fe 0.0000 0.0000 0.0000  4 W 2.67, 4 Te 2.69
Te 0.5014 0.0000 0.2704  2 Fe 2.69, 2 W 2.69
Te 0.9986 0.5000 0.7296  2 W 2.69, 2 Fe 2.69
W 0.5000 0.5000 0.0001  4 Fe 2.67, 4 Te 2.69


## SiB2Pb (PBE)

Data for SiB2Pb after structural relaxation.

Properties
- Spin magnetization: 0.000 μB/f.u.
- Space group: No. 122
- E above lowest polymorph: 0.0000 eV/atom
- E_form (uncorrected): 725 meV per atom

a = 6.3360 Å, b = 6.3360 Å, c = 6.3360 Å
α = 133.24°, β = 133.24°, γ = 68.27°
Closest atoms and distances in Å follow each position.
Element x y z (fractional)
Si 0.0000 0.0000 0.0000  4 B 2.03
Si 0.7500 0.2500 0.5000  4 B 2.03
B 0.0553 0.6250 0.9303  2 Si 2.03
B 0.3750 0.3053 0.4303  2 Si 2.03
B 0.6947 0.1250 0.0697  2 Si 2.03
B 0.8750 0.9447 0.5697  2 Si 2.03
Pb 0.2500 0.7500 0.5000  4 B 2.43
Pb 0.5000 0.5000 0.0000  4 B 2.43